The following is a DFT calculation (PBE) of a relaxed structure of Ti2InTc.

- ΔE_f (meV per atom) = -386
- total magnetization (μB/atom) = 0.00

a b c (Å): 3.2054 3.2054 6.6366
angles (deg): 90.00 90.00 90.00
Positions (direct):
Ti 0.0000 0.0000 0.2149
Ti 0.0000 0.0000 0.7851
In 0.5000 0.5000 0.5000
Tc 0.5000 0.5000 0.0000